# FePbO2F, relaxed, DFT PBE+U
# Total DFT energy (no corrections)   -5.646 eV per atom
# Spin magnetization   11.8 μB per cell
data_FePbO2F
_space_group_name_H-M_alt 'C m c m'
_space_group_IT_number 63
_space_group_name_Hall '-C 2c 2'
_cell_length_a 5.353
_cell_length_b 10.770
_cell_length_c 5.354
_cell_angle_alpha 90.00
_cell_angle_beta 90.00
_cell_angle_gamma 90.00
loop_
_atom_site_label
_atom_site_type_symbol
_atom_site_fract_x
_atom_site_fract_y
_atom_site_fract_z
Fe1 Fe 0.000 0.015 0.250
Pb1 Pb 0.000 0.343 0.250
O1 O 0.240 0.000 0.000
F1 F 0.000 0.243 0.750